Material: Mo2P2O11
Method: DFT, PBE with a Hubbard U
State: relaxed

POSCAR file:
```
Mo2P2O11
1.0
6.5267 0.0000 0.0000
0.0000 3.9172 -0.1020
0.0000 1.6591 8.6823
O Mo P
11 2 2
Cartesian
4.5836 3.6167 6.5375
3.2633 1.6260 7.4076
1.9430 3.6167 6.5375
1.2110 1.6094 2.1515
3.2633 3.7318 2.0084
0.0000 1.7304 6.5364
0.0000 2.5011 0.0086
3.2633 1.8626 3.9557
3.2633 1.9012 0.1058
5.3156 1.6094 2.1515
0.0000 3.7192 4.5011
0.0000 3.8472 6.1967
3.2633 1.7170 2.2598
3.2633 4.0391 7.3201
0.0000 1.9381 1.3636
```

- calculated density (g/cm3) = 3.20
- polymorph energy (0 for the lowest one) (eV per atom) = 0.2616